1.
A plane-wave DFT calculation with PBE-GGA was carried out for TbDy6Mg after structural relaxation.

Geometry as extended XYZ:
```
8
Lattice="-4.4033 -3.5049 -6.4201 0.1943 -9.1158 -1.9373 -4.1023 -4.8032 -0.2452" Properties=species:S:1:pos:R:3 pbc="T T T"
Tb -4.1557 -8.7120 -4.3013
Dy -7.1935 -11.8351 -7.3475
Dy -6.5228 -15.3031 -6.9132
Dy -3.4084 -5.3771 -3.9632
Dy -1.7885 -2.1208 -1.6894
Dy -1.1178 -5.5889 -1.2552
Dy -4.9030 -12.0468 -4.6395
Mg 0.0000 0.0000 0.0000
```

Summary:
SG: No. 2
ρ, kg/m3: 7718
ΔE to the lowest computed polymorph, eV/f.u.: 0.848
Total magnetization, Bohr magnetons per cell: 0.000

***

2.
A plane-wave DFT calculation with PBE-GGA was carried out for U2HBr5 after structural relaxation.

Geometry as extended XYZ:
```
16
Lattice="-0.5214 2.9893 -1.7577 -4.4073 -4.9146 -3.5526 -14.6714 4.4906 11.9888" Properties=species:S:1:pos:R:3 pbc="T T T"
U -7.6719 1.1194 0.6812
U -5.2755 0.3859 -1.2770
U -11.9282 1.4459 5.9972
U -14.3246 2.1794 7.9554
H -13.7431 3.0465 5.7595
H -5.8570 -0.4812 0.9189
Br -16.5284 2.8171 6.1955
Br -13.0410 1.7497 3.3457
Br -9.6585 -0.4972 2.0194
Br -4.3267 -2.1292 -2.3376
Br -7.5158 -1.6965 -0.6558
Br -12.0843 4.2618 7.3342
Br -9.9416 3.0625 4.6590
Br -15.2734 4.6945 9.0160
Br -3.0717 -0.2518 0.4829
Br -6.5591 0.8156 3.3327
```

Summary:
SG: No. 63
ρ, kg/m3: 5850
Raw total energy, eV per atom: -5.2438
Total magnetization, Bohr magnetons per cell: 12.000

***

3.
A plane-wave DFT calculation with PBE-GGA was carried out for Nd3Zn9Rh2 after structural relaxation.

Geometry as extended XYZ:
```
14
Lattice="-1.4049 -0.1078 -4.1128 -7.8541 -2.5633 0.4523 -5.4347 6.2097 -0.6041" Properties=species:S:1:pos:R:3 pbc="T T T"
Nd 0.0000 0.0000 0.0000
Nd -5.0626 1.0477 -2.8937
Nd -9.6311 2.4909 -1.3710
Zn -6.6444 1.8232 -0.0759
Zn -12.3822 1.7271 -2.7090
Zn -2.3115 1.8115 -1.5557
Zn -11.6937 4.2238 -3.0096
Zn -3.0000 -0.6852 -1.2550
Zn -10.0656 0.2642 -3.4620
Zn -4.6281 3.2745 -0.8027
Zn -9.0062 4.1059 -3.9245
Zn -5.6876 -0.5673 -0.3401
Rh -6.8788 3.4665 -2.3367
Rh -7.8149 0.0721 -1.9280
```

Summary:
SG: No. 71
ρ, kg/m3: 7825
Raw total energy, eV per atom: -3.3053
Total magnetization, Bohr magnetons per cell: 0.000

***

4.
A plane-wave DFT calculation with PBE-GGA was carried out for AlGaSb2 after structural relaxation.

Geometry as extended XYZ:
```
4
Lattice="7.6137 -0.0025 -0.0015 6.3416 4.2133 -0.0015 6.3416 1.9135 3.7537" Properties=species:S:1:pos:R:3 pbc="T T T"
Sb 17.7560 5.3576 3.2811
Sb 7.6097 2.2961 1.4062
Al 0.0037 0.0011 0.0007
Ga 10.1474 3.0618 1.8752
```

Summary:
SG: No. 160
ρ, kg/m3: 4688
ΔE to the lowest computed polymorph, eV/f.u.: 0.019
Uncorrected formation energy, kcal/mol of atoms: -3.65
Total magnetization, Bohr magnetons per cell: 0.000

***

5.
A plane-wave DFT calculation with PBE-GGA was carried out for HoHfPa2 after structural relaxation.

Geometry as extended XYZ:
```
4
Lattice="-3.6686 1.9871 -3.2063 -3.9149 -3.0585 -1.7337 -4.9011 0.7518 1.7560" Properties=species:S:1:pos:R:3 pbc="T T T"
Pa -9.3645 -0.2393 -2.3865
Pa -3.1201 -0.0804 -0.7976
Hf -6.2423 -0.1599 -1.5920
Ho 0.0000 0.0000 0.0000
```

Summary:
SG: No. 225
ρ, kg/m3: 12990
ΔE to the lowest computed polymorph, eV/f.u.: 1.000
Total magnetization, Bohr magnetons per cell: 0.000

***

6.
A plane-wave DFT calculation with PBE-GGA was carried out for BaCa2NdIn4 after structural relaxation.

Geometry as extended XYZ:
```
8
Lattice="-0.0313 5.2485 1.9194 -4.1365 1.7308 3.3355 3.4681 -0.3566 9.1677" Properties=species:S:1:pos:R:3 pbc="T T T"
Ba 0.0000 0.0000 0.0000
Ca -0.5398 4.9753 10.7940
Ca -0.1599 1.6474 3.6286
Nd -0.3499 3.3113 7.2113
In 1.3591 2.3674 9.8205
In -2.3091 5.9526 8.0928
In 1.6094 0.6701 6.3299
In -2.0588 4.2553 4.6022
```

Summary:
SG: No. 166
ρ, kg/m3: 5442
Raw total energy, eV per atom: -3.1382
Total magnetization, Bohr magnetons per cell: 0.000

***

7.
A plane-wave DFT calculation with PBE-GGA was carried out for Pr3NbPd12 after structural relaxation.

Geometry as extended XYZ:
```
16
Lattice="-3.5958 -2.0461 0.4465 -0.2018 -0.5446 -4.1205 8.3195 -14.2975 1.4822" Properties=species:S:1:pos:R:3 pbc="T T T"
Pr 2.0502 -3.5233 0.3653
Pr 4.1598 -7.1487 0.7411
Pr 6.2693 -10.7741 1.1169
Nb 0.0000 0.0000 0.0000
Pd -1.8988 -1.2953 -1.8370
Pd 0.0940 -4.7200 -1.4820
Pd 2.2610 -8.4441 -1.0959
Pd 4.4280 -12.1682 -0.7098
Pd -0.8825 -2.5962 0.3863
Pd 1.2870 -6.3246 0.7729
Pd 3.4367 -10.0190 1.1559
Pd 5.6062 -13.7474 1.5424
Pd 0.8145 -1.8454 -1.8972
Pd 2.9840 -5.5738 -1.5106
Pd 5.1337 -9.2682 -1.1277
Pd 7.3032 -12.9966 -0.7411
```

Summary:
SG: No. 123
ρ, kg/m3: 10351
Raw total energy, eV per atom: -6.0819
Total magnetization, Bohr magnetons per cell: 0.000

***

8.
A plane-wave DFT calculation with PBE-GGA was carried out for Tm2NpIn after structural relaxation.

Geometry as extended XYZ:
```
4
Lattice="3.3582 0.0000 0.0000 0.0000 3.3582 0.0000 0.0000 0.0000 9.2784" Properties=species:S:1:pos:R:3 pbc="T T T"
Np 1.6791 1.6791 0.0000
Tm 0.0000 0.0000 6.8855
Tm 0.0000 0.0000 2.3929
In 1.6791 1.6791 4.6392
```

Summary:
SG: No. 123
ρ, kg/m3: 10945
Raw total energy, eV per atom: -6.1152
Total magnetization, Bohr magnetons per cell: 3.976